Density functional theory data (PBE) for crystalline LiYAsO4 at its relaxed geometry.

Unit cell a=6.554 b=6.270 c=6.270 alpha=66.51 beta=58.49 gamma=58.49
Last column: magnetic moment on the atom in μB.
Atoms (fractional coordinates):
Li 0.500 0.000 0.500  0.00
Li 0.000 0.000 0.500  0.00
Y 0.000 0.000 0.000  0.03
Y 0.000 0.500 0.500  0.03
As 0.596 0.654 0.154  0.09
As 0.404 0.346 0.846  0.09
O 0.722 0.738 0.817  0.04
O 0.278 0.683 0.762  0.04
O 0.722 0.317 0.238  0.04
O 0.278 0.262 0.183  0.04
O 0.210 0.766 0.266  0.07
O 0.758 0.766 0.266  0.07
O 0.242 0.234 0.734  0.07
O 0.790 0.234 0.734  0.07

Summary:
size of the total moment: 0.81 Bohr magnetons per cell

***

Density functional theory data (PBE) for crystalline Li3Y3AsO8 at its relaxed geometry.

Unit cell a=6.648 b=6.647 c=6.281 alpha=121.95 beta=90.00 gamma=120.00
Atoms (fractional coordinates):
Li 0.000 0.000 0.000
Li 0.000 0.500 0.000
Li 0.500 0.500 0.000
Y 0.500 0.000 0.500
Y 0.500 0.500 0.500
Y 0.000 0.500 0.500
As 0.000 0.000 0.500
O 0.255 0.511 0.266
O 0.745 0.489 0.734
O 0.779 0.557 0.278
O 0.221 0.443 0.722
O 0.779 0.999 0.278
O 0.221 0.001 0.722
O 0.220 0.999 0.278
O 0.780 0.001 0.722

Summary:
size of the total moment: 0.00 Bohr magnetons per cell

***

Density functional theory data (PBE) for crystalline LiYAs2O6 at its relaxed geometry.

Unit cell a=6.862 b=6.747 c=6.747 alpha=74.12 beta=66.28 gamma=66.28
Atoms (fractional coordinates):
Li 0.250 0.223 0.777
Li 0.750 0.777 0.223
Y 0.250 0.832 0.168
Y 0.750 0.168 0.832
As 0.303 0.730 0.667
As 0.197 0.333 0.270
As 0.697 0.270 0.333
As 0.803 0.667 0.730
O 0.176 0.950 0.818
O 0.324 0.182 0.050
O 0.824 0.050 0.182
O 0.676 0.818 0.950
O 0.435 0.820 0.396
O 0.065 0.604 0.180
O 0.565 0.180 0.604
O 0.935 0.396 0.820
O 0.041 0.762 0.572
O 0.459 0.428 0.238
O 0.959 0.238 0.428
O 0.541 0.572 0.762

Summary:
size of the total moment: 0.00 Bohr magnetons per cell

***

Density functional theory data (PBE) for crystalline LiZnAs2O6 at its relaxed geometry.

Unit cell a=5.938 b=7.797 c=7.797 alpha=87.13 beta=67.83 gamma=67.83
Atoms (fractional coordinates):
Li 0.250 0.207 0.793
Li 0.750 0.793 0.207
Zn 0.250 0.790 0.210
Zn 0.750 0.210 0.790
As 0.255 0.805 0.629
As 0.245 0.371 0.195
As 0.745 0.195 0.371
As 0.755 0.629 0.805
O 0.102 0.017 0.764
O 0.398 0.236 0.983
O 0.898 0.983 0.236
O 0.602 0.764 0.017
O 0.382 0.836 0.395
O 0.118 0.605 0.164
O 0.618 0.164 0.605
O 0.882 0.395 0.836
O 0.023 0.692 0.654
O 0.477 0.346 0.308
O 0.977 0.308 0.346
O 0.523 0.654 0.692

Summary:
size of the total moment: 0.00 Bohr magnetons per cell

***

Density functional theory data (PBE) for crystalline Li2ZnAsO4 at its relaxed geometry.

Unit cell a=4.613 b=4.613 c=5.441 alpha=113.29 beta=113.29 gamma=93.85
Atoms (fractional coordinates):
Li 0.751 0.251 0.502
Li 0.251 0.751 0.502
Zn 0.003 0.003 0.006
As 0.509 0.509 0.017
O 0.604 0.604 0.759
O 0.370 0.857 0.227
O 0.857 0.370 0.227
O 0.155 0.155 0.759

Summary:
size of the total moment: 0.00 Bohr magnetons per cell

***

Density functional theory data (PBE) for crystalline LiZnAsO4 at its relaxed geometry.

Unit cell a=4.534 b=4.534 c=5.559 alpha=114.07 beta=114.07 gamma=90.00
Atoms (fractional coordinates):
Li 0.000 0.000 0.000
Zn 0.250 0.750 0.500
As 0.500 0.500 0.000
O 0.189 0.153 0.785
O 0.368 0.811 0.215
O 0.596 0.632 0.785
O 0.847 0.404 0.215

Summary:
energy above the most stable polymorph in this dataset: 50.5 meV/atom
size of the total moment: 0.00 Bohr magnetons per cell

***

For reference, ΔE_f (raw) by record: -14.44, -36.98, -18.50, -13.25, -12.23, -10.83 eV per formula unit.